Entry from Alexandria via LeMat-Bulk: an optimized crystal structure of Cs2CoCl2F2 (PBE with a Hubbard U).

Values from the calculation:
Magnetization (Bohr magnetons per cell): 6.0
Final energy (eV/atom): -4.018

a = 13.570 Å, b = 4.019 Å, c = 7.688 Å
α = 90.00°, β = 118.94°, γ = 90.00°
Space group C2/m (No. 12)
Inequivalent atoms, fractional coordinates:
Cs: 0.178 0.000 0.203
Co: 0.000 0.000 0.500
Cl: 0.039 0.500 0.752
F: 0.157 0.000 0.567